No. 1
Below is crystalline Ca2PdPt at its relaxed geometry, with properties calculated at the GGA-PBE level.

POSCAR file:
```
Ca2PdPt
1.0
-1.592 2.765 5.269
1.592 -2.765 5.269
1.592 2.765 -5.269
Ca Pd Pt
2 1 1
Direct
0.248 0.248 0.000
0.752 0.752 0.000
0.000 0.000 0.000
0.500 0.500 0.000
```

As for the space group: No. 71. The raw total energy is -0.13018 Ha/atom.

No. 2
Below is crystalline CaPdPt at its relaxed geometry, with properties calculated at the GGA-PBE level.

POSCAR file:
```
CaPdPt
1.0
4.650 0.000 0.000
0.000 2.728 4.850
0.000 -2.728 4.850
Ca Pd Pt
2 2 2
Direct
0.250 0.247 0.753
0.750 0.753 0.247
0.250 0.416 0.151
0.750 0.151 0.416
0.250 0.842 0.586
0.750 0.586 0.842
```

As for the space group: No. 40. The raw total energy is -0.18610 Ha/atom.

No. 3
Below is crystalline Ca2PdPt at its relaxed geometry, with properties calculated at the GGA-PBE level.

POSCAR file:
```
Ca2PdPt
1.0
-3.251 3.251 6.412
3.251 -3.251 6.412
3.251 3.251 -6.412
Ca Pd Pt
4 2 2
Direct
0.120 0.625 0.995
0.375 0.370 0.495
0.630 0.125 0.005
0.875 0.880 0.505
0.250 0.750 0.500
0.500 0.500 0.000
0.000 0.000 0.000
0.750 0.250 0.500
```

As for the space group: No. 122. The raw total energy is -0.14602 Ha/atom.

No. 4
Below is crystalline Ca6Pd2Pt at its relaxed geometry, with properties calculated at the GGA-PBE level.

POSCAR file:
```
Ca6Pd2Pt
1.0
6.793 0.000 0.000
0.000 7.779 0.000
-6.688 0.000 10.040
Ca Pd Pt
12 4 2
Direct
0.093 0.047 0.245
0.093 0.453 0.745
0.229 0.671 0.072
0.229 0.829 0.572
0.403 0.177 0.065
0.403 0.323 0.565
0.597 0.677 0.435
0.597 0.823 0.935
0.771 0.171 0.428
0.771 0.329 0.928
0.907 0.547 0.255
0.907 0.953 0.755
0.309 0.118 0.761
0.309 0.382 0.261
0.691 0.618 0.739
0.691 0.882 0.239
0.500 0.000 0.500
0.500 0.500 0.000
```

As for the space group: No. 14. The raw total energy is -0.13701 Ha/atom.

Looking at calculated formation energy for the records above, in order, we have 1.1; -2.0; -0.7; -5.1 eV/f.u..